Record 1
The following is a DFT calculation (GGA-PBE) of a relaxed structure of YCoIr2.

E above lowest polymorph (meV/atom): 0
Energy relative to the elements (eV/atom): -0.1854
Calculated density (g/cm³): 13.74
Calculated volume (Å³/atom): 16.08
DOS at the Fermi energy (states/eV per cell): 5.45
Final energy (eV/atom): -8.008
Size of the total moment (μB per cell): 0.98

Lattice parameters (Å, degrees): 3.9953 3.9953 4.0290 90.00 90.00 90.00
Positions (direct):
Y 0.0000 0.0000 0.0000
Co 0.5000 0.5000 0.0000
Ir 0.0000 0.5000 0.5000
Ir 0.5000 0.0000 0.5000


Record 2
The following is a DFT calculation (GGA-PBE) of a relaxed structure of K3SiCl2F6.

Formation energy (no corrections) (kcal/mol of atoms): -58.42
Calculated density (g/cm³): 2.31
Calculated volume (Å³/atom): 19.74
DOS at the Fermi energy (states/eV per cell): 1.38
Final energy (eV/atom): -4.503
Size of the total moment (μB per cell): 0.23

Lattice parameters (Å, degrees): 7.3593 7.3593 5.8601 90.33 90.33 48.28
Positions (direct):
K 0.0000 0.0000 0.0000
K 0.0000 0.5000 0.5000
K 0.5000 0.0000 0.5000
Si 0.5000 0.5000 0.5000
Cl 0.2364 0.2364 0.0178
Cl 0.7636 0.7636 0.9822
F 0.2406 0.6484 0.3356
F 0.3516 0.7594 0.6644
F 0.3969 0.3969 0.6713
F 0.6031 0.6031 0.3287
F 0.6484 0.2406 0.3356
F 0.7594 0.3516 0.6644


Record 3
The following is a DFT calculation (GGA-PBE) of a relaxed structure of Ce2PuTl4.

Energy relative to the elements (eV/atom): 0.1165
Calculated density (g/cm³): 9.86
Calculated volume (Å³/atom): 32.27
DOS at the Fermi energy (states/eV per cell): 52.62
Final energy (eV/atom): -4.978
Size of the total moment (μB per cell): 15.90

Lattice parameters (Å, degrees): 6.0398 6.0398 12.3837 90.00 90.00 90.00
Positions (direct):
Ce 0.0000 0.0000 0.1381
Ce 0.0000 0.0000 0.8619
Ce 0.5000 0.5000 0.3619
Ce 0.5000 0.5000 0.6381
Pu 0.0000 0.0000 0.5000
Pu 0.5000 0.5000 0.0000
Tl 0.0000 0.5000 0.0000
Tl 0.0000 0.5000 0.2500
Tl 0.0000 0.5000 0.5000
Tl 0.0000 0.5000 0.7500
Tl 0.5000 0.0000 0.0000
Tl 0.5000 0.0000 0.2500
Tl 0.5000 0.0000 0.5000
Tl 0.5000 0.0000 0.7500


What did the first record say?
The following is a DFT calculation (GGA-PBE) of a relaxed structure of YCoIr2.

E above lowest polymorph (meV/atom): 0
Energy relative to the elements (eV/atom): -0.1854
Calculated density (g/cm³): 13.74
Calculated volume (Å³/atom): 16.08
DOS at the Fermi energy (states/eV per cell): 5.45
Final energy (eV/atom): -8.008
Size of the total moment (μB per cell): 0.98

Lattice parameters (Å, degrees): 3.9953 3.9953 4.0290 90.00 90.00 90.00
Positions (direct):
Y 0.0000 0.0000 0.0000
Co 0.5000 0.5000 0.0000
Ir 0.0000 0.5000 0.5000
Ir 0.5000 0.0000 0.5000


Q: Number 2 is which compound?
A: K3SiCl2F6


Q: Which of these has the highest calculated volume?
A: Ce2PuTl4